DFT (PBE+U) results for crystalline NaVF3 at its relaxed geometry. Values from VASP.

```
&SYSTEM
  ibrav = 0, nat = 10, ntyp = 3
/
ATOMIC_SPECIES
V 50.94 V.upf
F 19.00 F.upf
Na 22.99 Na.upf
CELL_PARAMETERS angstrom
-2.1641 -0.5939 -3.5165
-0.9929 -3.8581 1.2626
-6.2689 4.8701 3.0354
ATOMIC_POSITIONS angstrom
V -7.4536 1.7990 0.5717
V -2.1066 -1.9030 0.3807
F -7.8088 -0.1812 1.1248
F -6.5519 2.1905 2.4250
F -1.7466 0.0956 -0.1784
F -3.0008 -2.2654 -1.4821
F -3.7441 -0.9946 1.2350
F -5.7251 1.2441 -0.3983
Na -4.1385 -0.0402 -1.1578
Na -5.6060 -0.7798 2.3445
```

Computed properties:
- space-group type = No. 40
- uncorrected energy (eV per cell) = -55.01
- Fermi-level density of states (states/eV/f.u.) = 0.0
- distance to the lowest polymorph of the same formula (meV/atom) = 93